Density functional theory data (meta-GGA SCAN) for SbNOF2 at its PBEsol-relaxed geometry.

## Properties
The calculated total energy is -56.84 eV/cell. Its space group is P4/mmm, No. 123. The formation energy from raw total energies comes out at 605 meV/atom. The value obtained for the density is 5.8 g/cm3.

a = 3.842 Å, b = 3.842 Å, c = 3.665 Å
α = 90.00°, β = 90.00°, γ = 90.00°
Sites, in units of the cell vectors:
F1 0.000 0.500 0.000
Sb1 0.500 0.500 0.500
O1 0.000 0.000 0.000
N1 0.000 0.000 0.500
F2 0.500 0.000 0.000